1.
First-principles (GGA-PBE) data for crystalline Cs2ThBr5 at its relaxed geometry, as listed in the Alexandria database.

formation energy from raw total energies: -1.642 eV per atom

a = 11.3921 Å, b = 14.3415 Å, c = 4.1443 Å
α = 90.00°, β = 90.00°, γ = 90.00°
Last column: nearest neighbours and their distance in Å.
Space group Pbam (No. 55)
Unique sites:
Cs1 0.1094 0.1673 0.0000 (multiplicity 4)  2 Br 3.41
Th1 0.0000 0.5000 0.5000 (multiplicity 2)  6 Br 2.88-3.00
Br1 0.0000 0.0000 0.5000 (multiplicity 2)  4 Cs 3.41
Br2 0.1066 0.6818 0.5000 (multiplicity 4)  1 Th 2.88
Br3 0.1712 0.4339 0.0000 (multiplicity 4)  2 Th 3.00

=====

2.
First-principles (GGA-PBE) data for crystalline RbIn2SnHg4 at its relaxed geometry, as listed in the Alexandria database.

calculated formation energy: -0.006 eV per atom

a = 4.3372 Å, b = 4.3372 Å, c = 13.6965 Å
α = 90.00°, β = 90.00°, γ = 90.00°
Last column: nearest neighbours and their distance in Å.
Space group P4/mmm (No. 123)
Unique sites:
Rb1 0.0000 0.0000 0.0000 (multiplicity 1)  8 Hg 3.71
In1 0.5000 0.5000 0.3923 (multiplicity 2)  1 In 2.95, 4 Hg 3.20
Sn1 0.0000 0.0000 0.5000 (multiplicity 1)  8 In 3.40
Hg1 0.0000 0.5000 0.2200 (multiplicity 4)  4 Hg 3.07, 2 In 3.20

=====

3.
First-principles (GGA-PBE) data for crystalline TlAsPd at its relaxed geometry, as listed in the Alexandria database.

calculated formation energy: -0.095 eV per atom
polymorph energy (0 for the lowest one): 144 meV per atom

a = 3.5720 Å, b = 3.5720 Å, c = 5.9549 Å
α = 90.00°, β = 90.00°, γ = 120.00°
Last column: nearest neighbours and their distance in Å.
Space group P3m1 (No. 156)
Unique sites:
Tl1 0.0000 0.0000 0.0000 (multiplicity 1)  3 Pd 2.98, 3 As 3.18
As1 0.6667 0.3333 0.5930 (multiplicity 1)  3 Pd 2.48
Pd1 0.3333 0.6667 0.3613 (multiplicity 1)  3 As 2.48

=====

4.
First-principles (GGA-PBE) data for crystalline PrCuGe at its relaxed geometry, as listed in the Alexandria database.

calculated formation energy: -0.614 eV per atom

a = 4.2390 Å, b = 4.2390 Å, c = 4.1571 Å
α = 90.00°, β = 90.00°, γ = 120.00°
Last column: nearest neighbours and their distance in Å.
Space group P-6m2 (No. 187)
Unique sites:
Pr1 0.0000 0.0000 0.0000 (multiplicity 1)  6 Ge 3.21, 6 Cu 3.21
Cu1 0.3333 0.6667 0.5000 (multiplicity 1)  3 Ge 2.45
Ge1 0.6667 0.3333 0.5000 (multiplicity 1)  3 Cu 2.45